## ZrPbSe2 (PBEsol)

Data for an optimized crystal structure of ZrPbSe2.

It has space group P4mm (No. 99), with a = 3.6789 Å, b = 3.6789 Å, c = 7.8573 Å, α = 90.00°, β = 90.00° and γ = 90.00°. Symmetry generates all atoms from Zr at (0.0000, 0.0000, 0.0000), Pb at (0.5000, 0.5000, 0.4761), Se at (0.0000, 0.0000, 0.6828) and Se at (0.5000, 0.5000, 0.0738).

Its magnetization is 0.000 μB/atom. As for the density of states at the Fermi level: 2.1 states/eV/f.u. The value obtained for the uncorrected formation energy is -2.71 eV per formula unit.